## Cs3Ag2SnI6 (PBE)

Data for a relaxed Cs3Ag2SnI6 crystal.

```
Cs3Ag2SnI6
1.0
9.243 0.000 0.000
-4.621 8.005 0.000
0.000 0.000 9.517
Cs Ag Sn I
3 2 1 6
direct
0.000 0.000 0.000
0.333 0.667 0.625
0.667 0.333 0.375
0.333 0.667 0.228
0.667 0.333 0.772
0.000 0.000 0.500
0.163 0.326 0.298
0.163 0.837 0.298
0.326 0.163 0.702
0.674 0.837 0.298
0.837 0.163 0.702
0.837 0.674 0.702
```

Computed properties:
space group: P-3m1
Fermi-level density of states: 3.8 states/eV/cell
uncorrected formation energy: -0.769 eV per atom

***

## Cs2Ag2SnI6 (PBE)

Data for a relaxed Cs2Ag2SnI6 crystal.

```
Cs2Ag2SnI6
1.0
7.717 -4.408 0.000
7.717 4.408 0.000
-4.518 0.000 7.610
Cs Ag Sn I
2 2 1 6
direct
0.239 0.239 0.215
0.761 0.761 0.785
0.445 0.445 0.799
0.555 0.555 0.201
0.000 0.000 0.500
0.193 0.708 0.197
0.237 0.237 0.654
0.292 0.807 0.803
0.708 0.193 0.197
0.763 0.763 0.346
0.807 0.292 0.803
```

Computed properties:
space group: C2/m
uncorrected formation energy: -0.774 eV per atom

***

## Cs2AgSnI5 (PBE)

Data for a relaxed Cs2AgSnI5 crystal.

```
Cs2AgSnI5
1.0
2.430 -11.266 0.000
2.430 11.266 0.000
0.000 0.000 15.573
Cs Ag Sn I
4 2 2 10
direct
0.112 0.888 0.500
0.127 0.873 0.123
0.873 0.127 0.623
0.888 0.112 0.000
0.437 0.563 0.256
0.563 0.437 0.756
0.206 0.794 0.828
0.794 0.206 0.328
0.058 0.942 0.853
0.286 0.714 0.465
0.307 0.693 0.187
0.343 0.657 0.814
0.498 0.502 0.100
0.502 0.498 0.600
0.657 0.343 0.314
0.693 0.307 0.687
0.714 0.286 0.965
0.942 0.058 0.353
```

Computed properties:
space group: Cmc2_1
Fermi-level density of states: 0.0 states/eV/cell
uncorrected formation energy: -0.927 eV per atom

***

## CsAgSnI4 (PBE)

Data for a relaxed CsAgSnI4 crystal.

```
CsAgSnI4
1.0
7.472 0.000 0.000
0.000 8.538 0.000
-3.692 0.000 9.846
Cs Ag Sn I
2 2 2 8
direct
0.223 0.250 0.045
0.777 0.750 0.955
0.201 0.750 0.325
0.799 0.250 0.675
0.205 0.250 0.536
0.795 0.750 0.464
0.037 0.519 0.708
0.037 0.981 0.708
0.430 0.750 0.159
0.487 0.750 0.588
0.513 0.250 0.412
0.570 0.250 0.841
0.963 0.019 0.292
0.963 0.481 0.292
```

Computed properties:
space group: P2_1/m
Fermi-level density of states: 0.0 states/eV/cell
uncorrected formation energy: -0.700 eV per atom